[1]
The following is a DFT calculation (GGA-PBEsol) of an optimized crystal structure of La2Co.

Output
The size of the total moment is 0.00 μB/atom. For the formation enthalpy at 0 K, the calculation gives -0.0361 eV/atom.

Cell lengths 4.974, 7.177, 7.177 Å; angles 120.00, 90.00, 90.00 degrees
Fractional positions:
La 0.000 0.000 0.290
La 0.000 0.290 0.000
La 0.500 0.621 0.000
La 0.000 0.710 0.710
La 0.500 0.000 0.621
La 0.500 0.379 0.379
Co 0.000 0.333 0.667
Co 0.000 0.667 0.333
Co 0.500 0.000 0.000



[2]
The following is a DFT calculation (GGA-PBEsol) of an optimized crystal structure of LaCo5.

Output
The size of the total moment is 1.11 μB/atom. For the formation enthalpy at 0 K, the calculation gives 0.0107 eV/atom.

Cell lengths 3.924, 4.923, 4.923 Å; angles 120.00, 90.00, 90.00 degrees
Fractional positions:
La 0.000 0.000 0.000
Co 0.500 0.000 0.500
Co 0.500 0.500 0.000
Co 0.500 0.500 0.500
Co 0.000 0.667 0.333
Co 0.000 0.333 0.667



[3]
The following is a DFT calculation (GGA-PBEsol) of an optimized crystal structure of La3Co.

Output
The size of the total moment is 0.00 μB/atom. For the formation enthalpy at 0 K, the calculation gives 0.0054 eV/atom.

Cell lengths 3.824, 3.824, 9.597 Å; angles 78.51, 78.51, 60.00 degrees
Fractional positions:
La 0.723 0.723 0.832
La 0.500 0.500 0.500
La 0.277 0.277 0.168
Co 0.000 0.000 0.000



[4]
The following is a DFT calculation (GGA-PBEsol) of an optimized crystal structure of LiLaCo.

Output
The size of the total moment is 0.00 μB/atom. For the formation enthalpy at 0 K, the calculation gives 0.4982 eV/atom.

Cell lengths 4.299, 4.299, 4.299 Å; angles 60.00, 60.00, 60.00 degrees
Fractional positions:
La 0.500 0.500 0.500
Co 0.000 0.000 0.000
Li 0.250 0.250 0.250



[5]
The following is a DFT calculation (GGA-PBEsol) of an optimized crystal structure of LiLaCo.

Output
The size of the total moment is 0.00 μB/atom. For the formation enthalpy at 0 K, the calculation gives 0.2591 eV/atom.

Cell lengths 3.473, 3.473, 5.267 Å; angles 109.25, 109.25, 90.00 degrees
Fractional positions:
La 0.358 0.358 0.717
Co 0.993 0.993 0.986
Li 0.649 0.649 0.297



[6]
The following is a DFT calculation (GGA-PBEsol) of an optimized crystal structure of LiLaCo2.

Output
The size of the total moment is 0.75 μB/atom. For the formation enthalpy at 0 K, the calculation gives 0.2637 eV/atom.

Cell lengths 3.029, 3.029, 7.451 Å; angles 90.00, 90.00, 90.00 degrees
Fractional positions:
Co 0.000 0.000 0.044
Co 0.500 0.500 0.171
Li 0.500 0.500 0.830
La 0.000 0.000 0.455



[7]
The following is a DFT calculation (GGA-PBEsol) of an optimized crystal structure of LiLaCo.

Output
The size of the total moment is 0.00 μB/atom. For the formation enthalpy at 0 K, the calculation gives 0.7461 eV/atom.

Cell lengths 4.457, 4.457, 4.457 Å; angles 60.00, 60.00, 60.00 degrees
Fractional positions:
Co 0.500 0.500 0.500
La 0.250 0.250 0.250
Li 0.000 0.000 0.000



[8]
The following is a DFT calculation (GGA-PBEsol) of an optimized crystal structure of LiLaCo2.

Output
The size of the total moment is 0.00 μB/atom. For the formation enthalpy at 0 K, the calculation gives 0.1412 eV/atom.

Cell lengths 4.191, 4.190, 5.161 Å; angles 113.93, 90.00, 120.00 degrees
Fractional positions:
Co 0.674 0.349 0.523
Co 0.326 0.651 0.477
La 0.500 0.000 0.000
Li 0.000 0.000 0.500



[9]
The following is a DFT calculation (GGA-PBEsol) of an optimized crystal structure of LiLa4CoO8.

Output
As for the calculated total energy: -8.10 eV/atom. The size of the total moment is 0.15 μB/atom.

Cell lengths 5.250, 5.255, 6.926 Å; angles 90.00, 112.27, 90.00 degrees
Fractional positions:
La 0.363 0.000 0.727
La 0.862 0.500 0.725
La 0.138 0.500 0.275
La 0.637 0.000 0.273
O 0.680 0.500 0.360
O 0.246 0.755 0.000
O 0.754 0.755 0.000
O 0.246 0.245 0.000
O 0.320 0.500 0.640
O 0.754 0.245 0.000
O 0.822 0.000 0.644
O 0.178 0.000 0.356
Co 0.000 0.000 0.000
Li 0.500 0.500 0.000



[10]
The following is a DFT calculation (GGA-PBEsol) of an optimized crystal structure of LiLa4CoO8.

Output
As for the calculated total energy: -8.10 eV/atom. The size of the total moment is 0.15 μB/atom.

Cell lengths 5.252, 5.252, 13.345 Å; angles 101.35, 101.35, 90.00 degrees
Fractional positions:
O 0.746 0.746 0.000
O 0.160 0.660 0.320
O 0.996 0.004 0.500
O 0.504 0.004 0.500
O 0.411 0.411 0.822
O 0.254 0.746 0.000
O 0.910 0.910 0.820
O 0.504 0.496 0.500
O 0.996 0.496 0.500
O 0.661 0.161 0.322
O 0.340 0.840 0.680
O 0.090 0.090 0.180
O 0.839 0.339 0.678
O 0.589 0.589 0.178
O 0.254 0.254 0.000
O 0.746 0.254 0.000
La 0.431 0.931 0.862
La 0.932 0.432 0.864
La 0.318 0.318 0.636
La 0.819 0.819 0.638
La 0.181 0.181 0.362
La 0.568 0.068 0.136
La 0.682 0.682 0.364
La 0.069 0.569 0.138
Co 0.500 0.500 0.000
Co 0.750 0.250 0.500
Li 0.250 0.750 0.500
Li 0.000 0.000 0.000



[11]
The following is a DFT calculation (GGA-PBEsol) of an optimized crystal structure of La2MgCo.

Output
The size of the total moment is 0.00 μB/atom. For the formation enthalpy at 0 K, the calculation gives -0.0082 eV/atom.

Cell lengths 3.854, 3.854, 9.008 Å; angles 102.38, 90.00, 120.00 degrees
Fractional positions:
La 0.226 0.451 0.178
La 0.774 0.549 0.822
Mg 0.000 0.000 0.500
Co 0.500 0.000 0.000



[12]
The following is a DFT calculation (GGA-PBEsol) of an optimized crystal structure of La2MgCo.

Output
The size of the total moment is 0.00 μB/atom. For the formation enthalpy at 0 K, the calculation gives 0.0460 eV/atom.

Cell lengths 3.821, 5.516, 5.805 Å; angles 118.36, 109.21, 90.00 degrees
Fractional positions:
Co 0.000 0.500 0.000
Mg 0.500 0.000 0.000
La 0.309 0.309 0.617
La 0.691 0.691 0.383